Here is Ca2LaCo at its PBEsol-relaxed geometry from the Alexandria database. Energies are from meta-GGA SCAN.

Summary:
N(E_F), states/eV/cell: 2.8
Energy of formation from the pure elements, kJ per mole of atoms: 14.7

Cell: 4.004 3.649 8.478 Å, 90.00 103.64 90.00°
Element x y z (fractional)
Ca (0.000, 0.000, 0.000)
Ca (0.327, 0.500, 0.653)
La (0.673, 0.000, 0.344)
Co (0.150, 0.500, 0.298)